*w*
Below is a geometry-optimized NaIn7Hg4 structure, with properties calculated at the PBE level.

Cell: 7.444 7.444 9.599 Å, 119.75 119.75 48.40°
Fractional positions:
Na 0.000 0.000 0.000
In 0.001 0.001 0.339
In 0.252 0.252 0.366
In 0.254 0.254 0.025
In 0.500 0.500 0.000
In 0.746 0.746 0.975
In 0.748 0.748 0.634
In 0.999 0.999 0.661
Hg 0.248 0.248 0.691
Hg 0.498 0.498 0.666
Hg 0.502 0.502 0.334
Hg 0.752 0.752 0.309

---

*x*
Below is a geometry-optimized NaIn7Hg4 structure, with properties calculated at the PBE level.

Cell: 5.060 5.060 14.557 Å, 90.00 90.00 120.00°
Fractional positions:
Na 0.000 0.000 0.000
In 0.000 0.000 0.244
In 0.000 0.000 0.500
In 0.000 0.000 0.756
In 0.333 0.667 0.648
In 0.333 0.667 0.863
In 0.667 0.333 0.137
In 0.667 0.333 0.352
Hg 0.333 0.667 0.094
Hg 0.333 0.667 0.407
Hg 0.667 0.333 0.593
Hg 0.667 0.333 0.906

---

It comes down to *x*, which is 61 meV/atom more stable than the next structure.

---

*w*
Below is a geometry-optimized NaIn3Hg3 structure, with properties calculated at the PBE level.

Cell: 5.967 5.967 5.967 Å, 103.39 103.39 103.39°
Fractional positions:
Na 0.000 0.000 0.000
In 0.134 0.491 0.491
In 0.491 0.134 0.491
In 0.491 0.491 0.134
Hg 0.463 0.921 0.921
Hg 0.921 0.463 0.921
Hg 0.921 0.921 0.463

---

*x*
Below is a geometry-optimized NaIn3Hg3 structure, with properties calculated at the PBE level.

Cell: 7.362 7.362 7.037 Å, 90.10 90.10 95.00°
Fractional positions:
Na 0.206 0.206 0.498
Na 0.794 0.794 0.502
In 0.151 0.849 0.000
In 0.250 0.750 0.500
In 0.275 0.275 0.000
In 0.725 0.725 0.000
In 0.750 0.250 0.500
In 0.849 0.151 0.000
Hg 0.001 0.500 0.756
Hg 0.500 0.001 0.756
Hg 0.500 0.500 0.277
Hg 0.500 0.500 0.723
Hg 0.500 0.999 0.244
Hg 0.999 0.500 0.244

---

It comes down to *x*, which is 40 meV/atom more stable than the next structure.

---

*w*
Below is a geometry-optimized Na2In5Hg12 structure, with properties calculated at the PBE level.

Cell: 9.834 9.834 5.910 Å, 103.23 103.23 65.55°
Fractional positions:
Na 0.239 0.761 0.000
Na 0.761 0.239 0.000
In 0.000 0.000 0.500
In 0.211 0.211 0.547
In 0.335 0.335 0.130
In 0.665 0.665 0.870
In 0.789 0.789 0.453
Hg 0.059 0.546 0.804
Hg 0.115 0.115 0.011
Hg 0.156 0.645 0.405
Hg 0.355 0.844 0.595
Hg 0.446 0.446 0.723
Hg 0.454 0.941 0.196
Hg 0.546 0.059 0.804
Hg 0.554 0.554 0.277
Hg 0.645 0.156 0.405
Hg 0.844 0.355 0.595
Hg 0.885 0.885 0.989
Hg 0.941 0.454 0.196

---

*x*
Below is a geometry-optimized Na2In5Hg12 structure, with properties calculated at the PBE level.

Cell: 9.053 9.053 7.695 Å, 102.96 102.96 58.10°
Fractional positions:
Na 0.220 0.780 0.000
Na 0.780 0.220 0.000
In 0.000 0.000 0.500
In 0.210 0.210 0.474
In 0.348 0.348 0.851
In 0.652 0.652 0.149
In 0.790 0.790 0.526
Hg 0.058 0.465 0.198
Hg 0.132 0.132 0.879
Hg 0.197 0.615 0.574
Hg 0.385 0.803 0.426
Hg 0.435 0.435 0.244
Hg 0.465 0.058 0.198
Hg 0.535 0.942 0.802
Hg 0.565 0.565 0.756
Hg 0.615 0.197 0.574
Hg 0.803 0.385 0.426
Hg 0.868 0.868 0.121
Hg 0.942 0.535 0.802

---

It comes down to *w*, which is 11 meV/atom more stable than the next structure.